Below is CoH2Cl2O after structural relaxation, with properties calculated at the PBE+U level.

## Properties
Its raw total energy is -4.37 eV per atom.

Cell and atoms, written as CIF:
```
data_CoH2Cl2O
_chemical_formula_sum 'Co4 H8 Cl8 O4'
_cell_length_a 8.865
_cell_length_b 3.571
_cell_length_c 11.491
_cell_angle_alpha 90.00
_cell_angle_beta 90.00
_cell_angle_gamma 90.00
_space_group_name_H-M_alt 'P 1'
_space_group_IT_number 1
loop_
_space_group_symop_operation_xyz
'x,y,z'
loop_
_atom_site_label
_atom_site_type_symbol
_atom_site_fract_x
_atom_site_fract_y
_atom_site_fract_z
Co1 Co 0.179 0.250 0.016
Co2 Co 0.321 0.750 0.516
Co3 Co 0.679 0.250 0.484
Co4 Co 0.821 0.750 0.984
H1 H 0.050 0.750 0.631
H2 H 0.185 0.750 0.725
H3 H 0.315 0.250 0.225
H4 H 0.450 0.250 0.131
H5 H 0.550 0.750 0.869
H6 H 0.685 0.750 0.775
H7 H 0.815 0.250 0.275
H8 H 0.950 0.250 0.369
Cl1 Cl 0.038 0.750 0.122
Cl2 Cl 0.198 0.250 0.403
Cl3 Cl 0.302 0.750 0.903
Cl4 Cl 0.462 0.250 0.622
Cl5 Cl 0.538 0.750 0.378
Cl6 Cl 0.698 0.250 0.097
Cl7 Cl 0.802 0.750 0.597
Cl8 Cl 0.962 0.250 0.878
O1 O 0.160 0.750 0.642
O2 O 0.340 0.250 0.142
O3 O 0.660 0.750 0.858
O4 O 0.840 0.250 0.358
```